# YSnW2O8, relaxed, DFT PBE+U
data_YSnW2O8
_chemical_formula_sum 'Y2 Sn2 W4 O16'
_cell_length_a 5.350
_cell_length_b 5.688
_cell_length_c 11.150
_cell_angle_alpha 90.00
_cell_angle_beta 112.07
_cell_angle_gamma 90.00
_space_group_name_H-M_alt 'P 1 2/c 1'
_space_group_IT_number 13
loop_
_space_group_symop_operation_xyz
'x,y,z'
'-x,-y,-z'
'-x,y,-z+1/2'
'x,-y,z+1/2'
loop_
_atom_site_label
_atom_site_fract_x
_atom_site_fract_y
_atom_site_fract_z
_atom_site_occupancy
Y1 0.000 0.227 0.250 1
Sn1 0.500 0.184 0.750 1
W1 0.248 0.325 0.998 1
O1 0.121 0.429 0.614 1
O2 0.240 0.106 0.130 1
O3 0.260 0.105 0.869 1
O4 0.367 0.405 0.397 1
# Mass density, g/cm³: 7.43
# Energy above the most stable polymorph in this dataset, eV/atom: 0.000
# Electronic total energy, eV/atom: -7.57